This record from Alexandria via LeMat-Bulk describes PmIn3Hg6 after structural relaxation. The functional is PBE.

Lattice parameters (Å, degrees): 5.0639 12.5199 9.6841 116.57 90.00 90.00
Last column: nearest neighbours and their distance in Å.
Fractional positions:
1 Pm 0.7500 0.0776 0.7491  9 Hg 3.19-3.45, 2 In 3.38-3.40
2 Pm 0.2500 0.9224 0.2509  9 Hg 3.19-3.45, 2 In 3.38-3.40
3 In 0.7500 0.3509 0.7543  5 Hg 2.98-3.33, 2 In 3.25
4 In 0.2500 0.6491 0.2457  5 Hg 2.98-3.33, 2 In 3.25
5 In 0.7500 0.5705 0.3903  6 Hg 3.02-3.19, 2 In 3.25
6 In 0.2500 0.4295 0.6097  6 Hg 3.02-3.19, 2 In 3.25
7 In 0.7500 0.0815 0.1006  6 Hg 3.08-3.35, 2 In 3.29, 1 Pm 3.38
8 In 0.2500 0.9185 0.8994  6 Hg 3.08-3.35, 2 In 3.29, 1 Pm 3.38
9 Hg 0.7500 0.5753 0.7091  4 Hg 2.97-3.21, 4 In 3.02-3.06
10 Hg 0.2500 0.4247 0.2909  4 Hg 2.97-3.21, 4 In 3.02-3.06
11 Hg 0.7500 0.8077 0.0211  5 Hg 3.12-3.21, 3 In 3.16-3.35, 2 Pm 3.25
12 Hg 0.2500 0.1923 0.9789  5 Hg 3.12-3.21, 3 In 3.16-3.35, 2 Pm 3.25
13 Hg 0.7500 0.3553 0.0644  2 In 2.98-3.10, 4 Hg 3.12-3.21
14 Hg 0.2500 0.6447 0.9356  2 In 2.98-3.10, 4 Hg 3.12-3.21
15 Hg 0.7500 0.8112 0.3535  3 In 3.12-3.19, 5 Hg 3.17-3.33, 2 Pm 3.25
16 Hg 0.2500 0.1888 0.6465  3 In 3.12-3.19, 5 Hg 3.17-3.33, 2 Pm 3.25
17 Hg 0.7500 0.0976 0.4275  2 In 3.08-3.33, 5 Hg 3.17-3.33, 3 Pm 3.23-3.29
18 Hg 0.2500 0.9024 0.5725  2 In 3.08-3.33, 5 Hg 3.17-3.33, 3 Pm 3.23-3.29
19 Hg 0.7500 0.8052 0.6881  5 Hg 2.97-3.27, 3 In 3.06-3.16, 1 Pm 3.19
20 Hg 0.2500 0.1948 0.3119  5 Hg 2.97-3.27, 3 In 3.06-3.16, 1 Pm 3.19

Its space group is P2_1/m, No. 11. The formation energy is -1.2 eV per formula unit.